An optimized crystal structure of BaLiCd6. Source: Alexandria, functional PBE.

Values from the calculation:
* energy of formation from the pure elements: -0.174 eV per atom
* space-group type: P4/mmm
* energy relative to the lowest polymorph listed for this composition: 0.032 eV per atom

a b c (Å): 4.8162 4.8162 9.2615
angles (deg): 90.00 90.00 90.00
Element x y z (fractional)
Ba: 0.0000 0.0000 0.0000
Li: 0.0000 0.0000 0.5000
Cd: 0.5000 0.0000 0.6611
Cd: 0.0000 0.5000 0.6611
Cd: 0.5000 0.5000 0.1548
Cd: 0.5000 0.5000 0.8452
Cd: 0.0000 0.5000 0.3389
Cd: 0.5000 0.0000 0.3389